DFT (PBE with a Hubbard U) results for crystalline PaV3O8 at its relaxed geometry.

Properties
energy	-8.313	eV/atom

Unit cell a=4.1206 b=6.6522 c=6.6880 alpha=104.63 beta=107.94 gamma=90.00
Closest atoms and distances in Å follow each position.
Fractional coordinates of all 12 atoms:
Pa 0.2926 0.7058 0.5852  5 O 2.04-2.19
V 0.4082 0.3072 0.8163  2 O 1.78-1.85
V 0.7125 0.2804 0.4251  2 O 1.90-1.95
V 0.5985 0.7093 0.1970  2 O 1.75-1.89
O 0.4448 0.6369 0.8896  1 V 1.89, 1 Pa 2.11
O 0.3631 0.0187 0.7262  1 V 1.85, 1 Pa 2.04
O 0.8648 0.3048 0.7296  1 V 1.90
O 0.2486 0.3469 0.4971  3 V 2.12-2.13, 1 Pa 2.30
O 0.7421 0.6205 0.4842  2 V 2.06-2.19, 2 Pa 2.19
O 0.1218 0.6941 0.2435  2 V 2.09, 1 Pa 2.15
O 0.5531 0.3645 0.1061  1 V 1.78
O 0.6483 0.9804 0.2966  2 V 1.75-1.95